# LiGaGe | the Alexandria database | PBE | optimized geometry
# N(E_F), states/eV/cell: 1.0
# Theoretical density, g/cm3: 4.37
# ΔE_f, eV/atom: -0.1784
# Energy, eV/atom: -3.364
data_LiGaGe
_chemical_formula_sum 'Li2 Ga2 Ge2'
_space_group_name_H-M_alt 'P m m n'
_space_group_IT_number 59
_cell_length_a 4.0322
_cell_length_b 4.2057
_cell_length_c 6.6849
_cell_angle_alpha 90.00
_cell_angle_beta 90.00
_cell_angle_gamma 90.00
loop_
_space_group_symop_operation_xyz
'x,y,z'
'-x,-y,-z'
'-x+1/2,-y+1/2,z'
'x+1/2,y+1/2,-z'
'x+1/2,-y,-z'
'-x+1/2,y,z'
'-x,y+1/2,-z'
'x,-y+1/2,z'
loop_
_atom_site_label
_atom_site_type_symbol
_atom_site_fract_x
_atom_site_fract_y
_atom_site_fract_z
Li1 Li 0.2500 0.2500 0.1532
Ga1 Ga 0.2500 0.7500 0.5052
Ge1 Ge 0.2500 0.2500 0.7523

# LiGaGe | the Alexandria database | PBE | optimized geometry
# N(E_F), states/eV/cell: 2.2
# Theoretical density, g/cm3: 4.83
# ΔE_f, eV/atom: -0.0526
# Energy, eV/atom: -3.239
data_LiGaGe
_chemical_formula_sum 'Li2 Ga2 Ge2'
_space_group_name_H-M_alt 'P 63/m m c'
_space_group_IT_number 194
_space_group_name_Hall '-P 6c 2c'
_cell_length_a 4.4993
_cell_length_b 4.4993
_cell_length_c 5.8493
_cell_angle_alpha 90.00
_cell_angle_beta 90.00
_cell_angle_gamma 120.00
loop_
_atom_site_label
_atom_site_type_symbol
_atom_site_fract_x
_atom_site_fract_y
_atom_site_fract_z
Li1 Li 0.3333 0.6667 0.2500
Ga1 Ga 0.0000 0.0000 0.0000
Ge1 Ge 0.3333 0.6667 0.7500

# LiGaGe | the Alexandria database | PBE | optimized geometry
# N(E_F), states/eV/cell: 1.3
# Theoretical density, g/cm3: 4.76
# ΔE_f, eV/atom: -0.1646
# Energy, eV/atom: -3.351
data_LiGaGe
_chemical_formula_sum 'Li2 Ga2 Ge2'
_space_group_name_H-M_alt 'P 1 m 1'
_space_group_IT_number 6
_space_group_name_Hall 'P -2y'
_cell_length_a 5.1818
_cell_length_b 2.7943
_cell_length_c 7.6444
_cell_angle_alpha 90.00
_cell_angle_beta 109.79
_cell_angle_gamma 90.00
loop_
_atom_site_label
_atom_site_type_symbol
_atom_site_fract_x
_atom_site_fract_y
_atom_site_fract_z
Li1 Li 0.0000 0.0000 0.0000
Li2 Li 0.1311 0.0000 0.6223
Ga1 Ga 0.6765 0.5000 0.6687
Ga2 Ga 0.7615 0.5000 0.2855
Ge1 Ge 0.2838 0.5000 0.3392
Ge2 Ge 0.4557 0.5000 0.9346

# Li4Ga2Ge | the Alexandria database | PBE | optimized geometry
# N(E_F), states/eV/cell: 6.8
# Theoretical density, g/cm3: 2.71
# ΔE_f, eV/atom: -0.0102
# Energy, eV/atom: -2.628
data_Li4Ga2Ge
_chemical_formula_sum 'Li8 Ga4 Ge2'
_space_group_name_H-M_alt 'C m m m'
_space_group_IT_number 65
_space_group_name_Hall '-C 2 2'
_cell_length_a 4.4394
_cell_length_b 14.4070
_cell_length_c 4.5912
_cell_angle_alpha 90.00
_cell_angle_beta 90.00
_cell_angle_gamma 90.00
loop_
_atom_site_label
_atom_site_type_symbol
_atom_site_fract_x
_atom_site_fract_y
_atom_site_fract_z
Li1 Li 0.0000 0.0929 0.0000
Li2 Li 0.0000 0.4012 0.5000
Ga1 Ga 0.0000 0.2886 0.0000
Ge1 Ge 0.0000 0.0000 0.5000

# Li2GaGe2 | the Alexandria database | PBE | optimized geometry
# N(E_F), states/eV/cell: 6.0
# Theoretical density, g/cm3: 4.06
# ΔE_f, eV/atom: -0.2048
# Energy, eV/atom: -3.423
data_Li2GaGe2
_chemical_formula_sum 'Li8 Ga4 Ge8'
_space_group_name_H-M_alt 'C 1 2/m 1'
_space_group_IT_number 12
_space_group_name_Hall '-C 2y'
_cell_length_a 10.1985
_cell_length_b 4.1849
_cell_length_c 9.8753
_cell_angle_alpha 90.00
_cell_angle_beta 117.32
_cell_angle_gamma 90.00
loop_
_atom_site_label
_atom_site_type_symbol
_atom_site_fract_x
_atom_site_fract_y
_atom_site_fract_z
Li1 Li 0.0305 0.0000 0.2026
Li2 Li 0.1743 0.0000 0.6034
Ga1 Ga 0.2035 0.5000 0.8379
Ge1 Ge 0.0408 0.5000 0.3985
Ge2 Ge 0.1371 0.5000 0.0633

# Li4Ga2Ge | the Alexandria database | PBE | optimized geometry
# N(E_F), states/eV/cell: 4.8
# Theoretical density, g/cm3: 2.65
# ΔE_f, eV/atom: 0.0019
# Energy, eV/atom: -2.616
data_Li4Ga2Ge
_chemical_formula_sum 'Li8 Ga4 Ge2'
_space_group_name_H-M_alt 'I 4/m m m'
_space_group_IT_number 139
_space_group_name_Hall '-I 4 2'
_cell_length_a 4.7560
_cell_length_b 4.7560
_cell_length_c 13.2918
_cell_angle_alpha 90.00
_cell_angle_beta 90.00
_cell_angle_gamma 90.00
loop_
_atom_site_label
_atom_site_type_symbol
_atom_site_fract_x
_atom_site_fract_y
_atom_site_fract_z
Li1 Li 0.0000 0.0000 0.1933
Li2 Li 0.0000 0.5000 0.0000
Ga1 Ga 0.0000 0.0000 0.3957
Ge1 Ge 0.0000 0.0000 0.0000

# Li6Ga12Ge | the Alexandria database | PBE | optimized geometry
# N(E_F), states/eV/cell: 16.0
# Theoretical density, g/cm3: 4.84
# ΔE_f, eV/atom: -0.1643
# Energy, eV/atom: -2.923
data_Li6Ga12Ge
_chemical_formula_sum 'Li18 Ga36 Ge3'
_space_group_name_H-M_alt 'R -3'
_space_group_IT_number 148
_space_group_name_Hall '-R 3'
_cell_length_a 9.8175
_cell_length_b 9.8175
_cell_length_c 11.7329
_cell_angle_alpha 90.00
_cell_angle_beta 90.00
_cell_angle_gamma 120.00
loop_
_atom_site_label
_atom_site_type_symbol
_atom_site_fract_x
_atom_site_fract_y
_atom_site_fract_z
Li1 Li 0.0284 0.4356 0.2073
Ga1 Ga 0.0412 0.1873 0.3080
Ga2 Ga 0.0548 0.8529 0.9106
Ge1 Ge 0.0000 0.0000 0.5000

# LiGaGe3 | the Alexandria database | PBE | optimized geometry
# N(E_F), states/eV/cell: 2.8
# Theoretical density, g/cm3: 3.91
# ΔE_f, eV/atom: 0.4825
# Energy, eV/atom: -3.276
data_LiGaGe3
_chemical_formula_sum 'Li1 Ga1 Ge3'
_space_group_name_H-M_alt 'P m -3 m'
_space_group_IT_number 221
_space_group_name_Hall '-P 4 2 3'
_cell_length_a 5.0007
_cell_length_b 5.0007
_cell_length_c 5.0007
_cell_angle_alpha 90.00
_cell_angle_beta 90.00
_cell_angle_gamma 90.00
loop_
_atom_site_label
_atom_site_type_symbol
_atom_site_fract_x
_atom_site_fract_y
_atom_site_fract_z
Li1 Li 0.0000 0.0000 0.0000
Ga1 Ga 0.5000 0.5000 0.5000
Ge1 Ge 0.0000 0.5000 0.5000